[1]
Below is a relaxed Y6Er2Mg crystal, with properties calculated at the PBE level. Values from VASP.

The structure in Quantum ESPRESSO input format:
```
&SYSTEM
  ibrav = 0, nat = 18, ntyp = 3
/
ATOMIC_SPECIES
Y 88.91 Y.upf
Er 167.26 Er.upf
Mg 24.30 Mg.upf
CELL_PARAMETERS angstrom
-2.281 -4.211 1.603
0.428 -3.943 -9.748
9.380 -4.266 2.138
ATOMIC_POSITIONS angstrom
Y 2.385 -6.851 -6.645
Y 2.191 -5.506 -3.389
Y 5.141 -5.569 0.638
Y 4.999 -4.777 -5.435
Y -0.614 -6.235 -1.345
Y -0.707 -4.937 1.935
Y 2.528 -7.643 -0.573
Y -0.761 -5.399 -7.306
Y 8.234 -7.483 -7.943
Y 8.141 -6.185 -4.663
Y 5.335 -6.915 -2.619
Y 8.288 -7.022 1.299
Er 1.883 -3.371 -6.172
Er 5.501 -8.237 -5.852
Er 2.026 -4.184 -0.156
Er 5.643 -9.050 0.164
Mg 4.690 -2.133 1.069
Mg -0.926 -4.077 -4.073
```

Values from the calculation:
Energy of formation (meV/atom): 28.0
Excess energy over the best structure of this formula in the dataset (meV/atom): 0

[2]
Below is a relaxed Y3Er4Mg crystal, with properties calculated at the PBE level. Values from VASP.

The structure in Quantum ESPRESSO input format:
```
&SYSTEM
  ibrav = 0, nat = 8, ntyp = 3
/
ATOMIC_SPECIES
Er 167.26 Er.upf
Mg 24.30 Mg.upf
Y 88.91 Y.upf
CELL_PARAMETERS angstrom
7.170 -0.647 1.302
-4.095 5.922 -1.302
-1.868 -2.445 6.638
ATOMIC_POSITIONS angstrom
Er -0.498 0.291 3.892
Er -3.536 3.853 0.670
Er -2.584 1.507 5.758
Er 2.076 0.533 1.972
Mg -2.931 1.709 2.744
Y 0.139 3.453 2.345
Y 1.983 -1.156 5.661
Y 4.927 -2.873 7.378
```

Values from the calculation:
Energy of formation (meV/atom): 424.9

[3]
Below is a relaxed YEr2Mg4 crystal, with properties calculated at the PBE level. Values from VASP.

The structure in Quantum ESPRESSO input format:
```
&SYSTEM
  ibrav = 0, nat = 7, ntyp = 3
/
ATOMIC_SPECIES
Er 167.26 Er.upf
Mg 24.30 Mg.upf
Y 88.91 Y.upf
CELL_PARAMETERS angstrom
-1.001 3.661 3.895
0.415 -4.266 4.116
6.113 3.277 -1.510
ATOMIC_POSITIONS angstrom
Er 4.369 0.542 4.410
Er 1.159 2.131 2.091
Mg 3.313 -1.571 2.327
Mg 3.216 0.582 0.279
Mg 4.309 2.701 2.364
Mg 1.220 -0.028 4.137
Y 0.208 -2.133 2.058
```

Values from the calculation:
Energy of formation (meV/atom): 387.1
Excess energy over the best structure of this formula in the dataset (meV/atom): 243

[4]
Below is a relaxed Y4Er3Mg crystal, with properties calculated at the PBE level. Values from VASP.

The structure in Quantum ESPRESSO input format:
```
&SYSTEM
  ibrav = 0, nat = 8, ntyp = 3
/
ATOMIC_SPECIES
Y 88.91 Y.upf
Er 167.26 Er.upf
Mg 24.30 Mg.upf
CELL_PARAMETERS angstrom
-1.462 2.229 -2.574
2.644 -2.824 -3.948
-10.064 -7.112 2.226
ATOMIC_POSITIONS angstrom
Y -3.792 -5.412 -2.533
Y -2.011 -2.328 -3.541
Y -6.871 -5.378 -0.754
Y -5.090 -2.294 -1.762
Er -2.001 -1.560 -0.214
Er 1.322 -1.412 -1.974
Er -6.882 -6.146 -4.081
Mg -0.731 1.115 -1.287
```

Values from the calculation:
Energy of formation (meV/atom): 3.1
Excess energy over the best structure of this formula in the dataset (meV/atom): 6

[5]
Below is a relaxed YEr2Mg crystal, with properties calculated at the PBE level. Values from VASP.

The structure in Quantum ESPRESSO input format:
```
&SYSTEM
  ibrav = 0, nat = 4, ntyp = 3
/
ATOMIC_SPECIES
Y 88.91 Y.upf
Er 167.26 Er.upf
Mg 24.30 Mg.upf
CELL_PARAMETERS angstrom
-2.933 0.398 -1.884
-0.056 -0.943 -3.379
-4.252 -10.405 1.151
ATOMIC_POSITIONS angstrom
Y -3.621 -5.475 -2.056
Er -1.780 -2.642 -1.055
Er -5.461 -8.308 -3.057
Mg 0.000 0.000 0.000
```

Values from the calculation:
Energy of formation (meV/atom): 22.0
Excess energy over the best structure of this formula in the dataset (meV/atom): 53

[6]
Below is a relaxed Y2ErMg crystal, with properties calculated at the PBE level. Values from VASP.

The structure in Quantum ESPRESSO input format:
```
&SYSTEM
  ibrav = 0, nat = 4, ntyp = 3
/
ATOMIC_SPECIES
Y 88.91 Y.upf
Er 167.26 Er.upf
Mg 24.30 Mg.upf
CELL_PARAMETERS angstrom
3.597 0.000 0.000
0.000 3.597 0.000
0.000 0.000 9.181
ATOMIC_POSITIONS angstrom
Y 0.000 0.000 2.161
Y 0.000 0.000 7.020
Er 1.799 1.799 4.590
Mg 1.799 1.799 0.000
```

Values from the calculation:
Energy of formation (meV/atom): -31.9
Excess energy over the best structure of this formula in the dataset (meV/atom): 0

[7]
Below is a relaxed YErMg4 crystal, with properties calculated at the PBE level. Values from VASP.

The structure in Quantum ESPRESSO input format:
```
&SYSTEM
  ibrav = 0, nat = 6, ntyp = 3
/
ATOMIC_SPECIES
Y 88.91 Y.upf
Mg 24.30 Mg.upf
Er 167.26 Er.upf
CELL_PARAMETERS angstrom
6.025 0.000 0.000
3.012 5.218 0.000
3.012 1.739 4.919
ATOMIC_POSITIONS angstrom
Y 0.000 0.000 0.000
Mg 4.519 4.348 3.075
Mg 6.025 1.739 3.075
Mg 6.025 3.479 0.615
Mg 7.531 4.348 3.075
Er 3.012 1.739 1.230
```

Values from the calculation:
Energy of formation (meV/atom): -73.0
Excess energy over the best structure of this formula in the dataset (meV/atom): 0

[8]
Below is a relaxed Y2Er3Mg crystal, with properties calculated at the PBE level. Values from VASP.

The structure in Quantum ESPRESSO input format:
```
&SYSTEM
  ibrav = 0, nat = 12, ntyp = 3
/
ATOMIC_SPECIES
Er 167.26 Er.upf
Y 88.91 Y.upf
Mg 24.30 Mg.upf
CELL_PARAMETERS angstrom
5.815 2.021 -4.389
-1.411 7.401 -0.628
-1.600 -1.282 9.478
ATOMIC_POSITIONS angstrom
Er 2.782 5.916 0.781
Er 0.023 2.225 3.681
Er -0.754 4.632 7.519
Er 3.559 3.509 -3.058
Er -0.591 7.086 0.911
Er 3.396 1.055 3.550
Y 0.667 3.216 0.449
Y 2.138 4.924 4.012
Y 3.488 1.533 -0.236
Y -0.684 6.608 4.698
Mg 4.043 6.579 -2.132
Mg -1.238 1.562 6.593
```

Values from the calculation:
Energy of formation (meV/atom): 133.7
Excess energy over the best structure of this formula in the dataset (meV/atom): 0

Q: Number 4 is which compound?
A: Y4Er3Mg